No. 1
VASP calculation (PBE-GGA) on an optimized crystal structure of Sr2TiIn.

a = 9.0778 Å, b = 9.0778 Å, c = 7.2174 Å
α = 51.03°, β = 51.03°, γ = 90.00°
Closest atoms and distances in Å follow each position.
Sites, in units of the cell vectors:
In: 0.0000 0.0000 0.0000  4 Sr 3.28, 2 Ti 3.30
Sr: 0.3750 0.3687 0.7500  2 In 3.28, 2 Sr 3.30, 2 Ti 3.35
Ti: 0.2500 0.7500 0.5000  2 In 3.30, 4 Sr 3.35
Sr: 0.6313 0.1250 0.2500  2 In 3.28, 2 Sr 3.30, 2 Ti 3.35
Ti: 0.5000 0.5000 0.0000  2 In 3.30, 4 Sr 3.35
In: 0.7500 0.2500 0.5000  4 Sr 3.28, 2 Ti 3.30
Sr: 0.1187 0.6250 0.2500  2 In 3.28, 2 Sr 3.30, 2 Ti 3.35
Sr: 0.8750 0.8813 0.7500  2 In 3.28, 2 Sr 3.30, 2 Ti 3.35

DOS(E_F)	5.7	states/eV/cell
formation enthalpy at 0 K	0.5037	eV/atom
ρ	4.13	Mg/m³
space group	I-42d

No. 2
VASP calculation (PBE-GGA) on an optimized crystal structure of La3TaCl6O4.

a = 13.0382 Å, b = 13.0382 Å, c = 4.0069 Å
α = 90.00°, β = 90.00°, γ = 120.00°
Closest atoms and distances in Å follow each position.
Sites, in units of the cell vectors:
La: 0.1171 0.7206 0.2500  2 O 2.40
Cl: 0.3730 0.9316 0.2500  4 La 3.04-3.37, 2 O 3.06-3.23
Ta: 0.3333 0.6667 0.7500  5 O 1.91-2.00
La: 0.3966 0.1171 0.7500  2 O 2.40
O: 0.3064 0.5089 0.7500  1 Ta 1.91
O: 0.7975 0.3064 0.2500  1 Ta 1.91
Cl: 0.1447 0.8960 0.7500  3 La 2.92-3.10, 1 O 3.09
Cl: 0.5586 0.6270 0.2500  4 La 3.04-3.37, 2 O 3.06-3.23
La: 0.8829 0.2794 0.7500  2 O 2.40
Cl: 0.1040 0.2487 0.7500  3 La 2.92-3.10, 1 O 3.09
Cl: 0.7513 0.8553 0.7500  3 La 2.92-3.10, 1 O 3.09
O: 0.5089 0.2025 0.2500  1 Ta 1.91
La: 0.2794 0.3966 0.2500  2 O 2.40
Cl: 0.2487 0.1447 0.2500  3 La 2.92-3.10, 1 O 3.09
Cl: 0.8960 0.7513 0.2500  3 La 2.92-3.10, 1 O 3.09
La: 0.7206 0.6034 0.7500  2 O 2.40
Cl: 0.6270 0.0683 0.7500  4 La 3.04-3.37, 2 O 3.06-3.23
Cl: 0.9316 0.5586 0.7500  4 La 3.04-3.37, 2 O 3.06-3.23
O: 0.2025 0.6936 0.7500  1 Ta 1.91
Cl: 0.8553 0.1040 0.2500  3 La 2.92-3.10, 1 O 3.09
O: 0.6936 0.4911 0.2500  1 Ta 1.91
La: 0.6034 0.8829 0.2500  2 O 2.40
O: 0.6667 0.3333 0.7500  2 Ta 2.00
Ta: 0.6667 0.3333 0.2500  5 O 1.91-2.00
O: 0.3333 0.6667 0.2500  2 Ta 2.00
O: 0.4911 0.7975 0.7500  1 Ta 1.91
Cl: 0.4414 0.3730 0.7500  4 La 3.04-3.37, 2 O 3.06-3.23
Cl: 0.0683 0.4414 0.2500  4 La 3.04-3.37, 2 O 3.06-3.23

DOS(E_F)	0.0	states/eV/cell
ρ	4.92	Mg/m³
E_form (uncorrected)	-2.77	eV per atom
space group	P6_3/m

No. 3
VASP calculation (PBE-GGA) on an optimized crystal structure of BaSrMo2Rh.

a = 4.9375 Å, b = 5.8439 Å, c = 4.9375 Å
α = 90.00°, β = 90.00°, γ = 90.00°
Closest atoms and distances in Å follow each position.
Sites, in units of the cell vectors:
Ba: 0.0000 0.5000 0.0000  2 Rh 2.92
Mo: 0.5000 0.0000 0.0000  2 Rh 2.47
Sr: 0.5000 0.5000 0.5000  4 Ba 3.49, 8 Mo 3.83
Mo: 0.0000 0.0000 0.5000  2 Rh 2.47
Rh: 0.0000 0.0000 0.0000  4 Mo 2.47

DOS(E_F)	6.7	states/eV/cell
formation enthalpy at 0 K	1.0995	eV/atom
ρ	6.06	Mg/m³
space group	P4/mmm

No. 4
VASP calculation (PBE-GGA) on an optimized crystal structure of UIn3Br7.

a = 7.5731 Å, b = 7.5731 Å, c = 9.1356 Å
α = 62.89°, β = 62.89°, γ = 80.45°
Closest atoms and distances in Å follow each position.
Sites, in units of the cell vectors:
Br: 0.1456 0.6180 0.2267  1 U 2.92, 2 In 3.22-3.23
Br: 0.1556 0.1556 0.1062  1 U 2.81
In: 0.2394 0.8305 0.4779  3 Br 3.03-3.24
U: 0.9457 0.9457 0.0424  7 Br 2.80-3.06
Br: 0.7958 0.7958 0.8894  1 U 2.80
In: 0.8305 0.2394 0.4779  3 Br 3.03-3.24
Br: 0.3139 0.9419 0.7493  1 U 2.86
In: 0.5073 0.5073 0.9226  6 Br 3.16-3.35
Br: 0.6313 0.6313 0.3816  2 In 3.03, 1 U 3.06
Br: 0.9419 0.3139 0.7493  1 U 2.86
Br: 0.6180 0.1456 0.2267  1 U 2.92, 2 In 3.22-3.23

DOS(E_F)	10.4	states/eV/cell
ρ	4.57	Mg/m³
E_form (uncorrected)	-0.94	eV per atom
space group	Cm

No. 5
VASP calculation (PBE-GGA) on an optimized crystal structure of BaTl4Pt.

a = 4.7803 Å, b = 8.5595 Å, c = 8.5872 Å
α = 90.00°, β = 90.00°, γ = 90.00°
Closest atoms and distances in Å follow each position.
Sites, in units of the cell vectors:
Pt: 0.0000 0.2217 0.7500  6 Tl 2.87-2.98
Ba: 0.0000 0.3919 0.2500  1 Pt 3.31, 4 Tl 3.66
Tl: 0.5000 0.3062 0.9390  2 Pt 2.98, 1 Tl 3.25
Tl: 0.5000 0.0510 0.2500  8 Tl 3.24-3.46, 2 Pt 3.34
Ba: 0.0000 0.6081 0.7500  1 Pt 3.31, 4 Tl 3.66
Tl: 0.5000 0.9490 0.7500  8 Tl 3.24-3.46, 2 Pt 3.34
Pt: 0.0000 0.7783 0.2500  6 Tl 2.87-2.98
Tl: 0.5000 0.6938 0.4390  2 Pt 2.98, 1 Tl 3.25
Tl: 0.5000 0.6938 0.0610  2 Pt 2.98, 1 Tl 3.25
Tl: 0.5000 0.3062 0.5610  2 Pt 2.98, 1 Tl 3.25
Tl: 0.0000 0.0000 0.0000  2 Pt 2.87
Tl: 0.0000 0.0000 0.5000  2 Pt 2.87

DOS(E_F)	5.8	states/eV/cell
formation enthalpy at 0 K	-0.2716	eV/atom
ρ	10.87	Mg/m³
space group	Pmma

No. 6
VASP calculation (PBE-GGA) on an optimized crystal structure of LiCrIr2.

a = 5.6633 Å, b = 5.6633 Å, c = 5.6633 Å
α = 55.49°, β = 132.61°, γ = 152.82°
Closest atoms and distances in Å follow each position.
Sites, in units of the cell vectors:
Ir: 0.0000 0.2754 0.2754  1 Cr 2.25
Cr: 0.0000 0.5000 0.5000  2 Ir 2.25
Ir: 0.0000 0.7246 0.7246  1 Cr 2.25
Li: 0.0000 0.0000 0.0000  4 Cr 2.64, 2 Li 2.66, 2 Ir 2.76

DOS(E_F)	3.0	states/eV/cell
formation enthalpy at 0 K	0.3666	eV/atom
ρ	12.12	Mg/m³
space group	Immm